# 1
# Tl2AgRuF6, optimized geometry, DFT PBE
data_Tl2AgRuF6
_chemical_formula_sum 'Tl4 Ag2 Ru2 F12'
_space_group_name_H-M_alt 'P m m n'
_space_group_IT_number 59
_cell_length_a 6.2267
_cell_length_b 8.8840
_cell_length_c 6.3477
_cell_angle_alpha 90.00
_cell_angle_beta 90.00
_cell_angle_gamma 90.00
loop_
_space_group_symop_operation_xyz
'x,y,z'
'-x,-y,-z'
'-x+1/2,-y+1/2,z'
'x+1/2,y+1/2,-z'
'x+1/2,-y,-z'
'-x+1/2,y,z'
'-x,y+1/2,-z'
'x,-y+1/2,z'
loop_
_atom_site_label
_atom_site_type_symbol
_atom_site_fract_x
_atom_site_fract_y
_atom_site_fract_z
Tl1 Tl 0.2500 0.0036 0.2441
Ag1 Ag 0.2500 0.2500 0.7396
Ru1 Ru 0.2500 0.7500 0.7583
F1 F 0.0174 0.7500 0.5339
F2 F 0.0172 0.7500 0.9830
F3 F 0.2500 0.5211 0.7619
# Formation energy (no corrections): -1566 meV/atom

# 2
# CaMgRe2Ni, optimized geometry, DFT PBE
data_CaMgRe2Ni
_chemical_formula_sum 'Ca1 Mg1 Re2 Ni1'
_space_group_name_H-M_alt 'P 4/m m m'
_space_group_IT_number 123
_space_group_name_Hall '-P 4 2'
_cell_length_a 4.5710
_cell_length_b 4.5710
_cell_length_c 4.8395
_cell_angle_alpha 90.00
_cell_angle_beta 90.00
_cell_angle_gamma 90.00
loop_
_atom_site_label
_atom_site_type_symbol
_atom_site_fract_x
_atom_site_fract_y
_atom_site_fract_z
Ca1 Ca 0.0000 0.0000 0.0000
Mg1 Mg 0.0000 0.0000 0.5000
Re1 Re 0.0000 0.5000 0.0000
Ni1 Ni 0.5000 0.5000 0.5000
# Formation energy from the elements: 2.82 eV/atom

| no. | final energy (eV/atom) |
| --- | --- |
| 1 | -4.375 |
| 2 | -4.033 |